No. 1
Density functional theory data (PBE) for a relaxed Pm3RhN crystal.

Properties
uncorrected formation energy	-651	meV/atom
M_tot	0.00	Bohr magnetons per cell

Cell lengths 4.8724, 4.8724, 4.8724 Å; angles 90.00, 90.00, 90.00 degrees
With the nearest neighbours (Å) after each atom.
Space group Pm-3m (No. 221)
Asymmetric unit:
Pm 0.0000 0.0000 0.5000 x3  2 N 2.44
Rh 0.5000 0.5000 0.5000 x1  12 Pm 3.45
N 0.0000 0.0000 0.0000 x1  6 Pm 2.44


No. 2
Density functional theory data (PBE) for a relaxed Pm2RhN crystal.

Properties
offset from the most stable computed form	267	meV/atom
uncorrected formation energy	-589	meV/atom
M_tot	0.00	Bohr magnetons per cell

Cell lengths 3.2482, 3.2482, 6.8704 Å; angles 90.00, 90.00, 90.00 degrees
With the nearest neighbours (Å) after each atom.
Space group P4/mmm (No. 123)
Asymmetric unit:
Pm 0.0000 0.0000 0.2154 x2  4 N 2.73, 1 Pm 2.96, 4 Rh 3.02
Rh 0.5000 0.5000 0.5000 x1  8 Pm 3.02, 4 Rh 3.25
N 0.5000 0.5000 0.0000 x1  8 Pm 2.73


No. 3
Density functional theory data (PBE) for a relaxed Pm2RhN crystal.

Properties
offset from the most stable computed form	0	meV/atom
uncorrected formation energy	-856	meV/atom
M_tot	0.00	Bohr magnetons per cell

Cell lengths 3.5998, 3.5998, 21.1500 Å; angles 90.00, 90.00, 120.00 degrees
With the nearest neighbours (Å) after each atom.
Space group R-3m (No. 166, hexagonal axes)
Asymmetric unit:
Pm 0.0000 0.0000 0.2355 x6  3 N 2.54
Rh 0.0000 0.0000 0.0000 x3  6 Pm 2.93
N 0.0000 0.0000 0.5000 x3  6 Pm 2.54


No. 4
Density functional theory data (PBE) for a relaxed PmRhN crystal.

Properties
uncorrected formation energy	-724	meV/atom
M_tot	1.10	Bohr magnetons per cell

Cell lengths 3.5289, 3.5289, 7.7636 Å; angles 90.00, 90.00, 90.00 degrees
With the nearest neighbours (Å) after each atom.
Space group P4/nmm (No. 129, origin choice 2)
Asymmetric unit:
Pm 0.2500 0.2500 0.1666 x2  5 N 2.45-2.50
Rh 0.2500 0.2500 0.5829 x2  1 N 2.08
N 0.2500 0.2500 0.8507 x2  1 Rh 2.08


No. 5
Density functional theory data (PBE) for a relaxed PmSiRhN crystal.

Properties
uncorrected formation energy	-1228	meV/atom
M_tot	0.00	Bohr magnetons per cell

Cell lengths 3.9581, 3.9581, 8.1699 Å; angles 90.00, 90.00, 90.00 degrees
With the nearest neighbours (Å) after each atom.
Space group P4/nmm (No. 129, origin choice 2)
Asymmetric unit:
Pm 0.2500 0.2500 0.1588 x2  1 N 2.34
Si 0.2500 0.2500 0.6578 x2  1 N 1.75
Rh 0.2500 0.7500 0.5000 x2  4 Si 2.36
N 0.2500 0.2500 0.8720 x2  1 Si 1.75


No. 6
Density functional theory data (PBE) for a relaxed PmTh2RhN4 crystal.

Properties
uncorrected formation energy	-1096	meV/atom
M_tot	0.01	Bohr magnetons per cell

Cell lengths 3.4944, 12.1169, 12.0585 Å; angles 90.00, 90.00, 90.00 degrees
With the nearest neighbours (Å) after each atom.
Space group Cmcm (No. 63)
Asymmetric unit:
Pm 0.0000 0.1126 0.2500 x4  6 N 2.54-2.71
Th 0.0000 0.3700 0.0564 x8  6 N 2.41-2.60
Rh 0.0000 0.1496 0.7500 x4  4 N 2.19
N 0.0000 0.0000 0.0000 x4  4 Th 2.45
N 0.0000 0.2760 0.6202 x8  1 Rh 2.19, 1 Th 2.41
N 0.0000 0.4599 0.2500 x4  2 Rh 2.19


No. 7
Density functional theory data (PBE) for a relaxed Pm2ThRhN4 crystal.

Properties
uncorrected formation energy	-991	meV/atom
M_tot	0.00	Bohr magnetons per cell

Cell lengths 3.4691, 11.9748, 11.9179 Å; angles 90.00, 90.00, 90.00 degrees
With the nearest neighbours (Å) after each atom.
Space group Cmcm (No. 63)
Asymmetric unit:
Pm 0.0000 0.1293 0.0512 x8  4 N 2.40-2.58
Th 0.0000 0.3888 0.2500 x4  6 N 2.54-2.55
Rh 0.0000 0.3495 0.7500 x4  4 N 2.10-2.16
N 0.0000 0.0432 0.2500 x4  2 Rh 2.16
N 0.0000 0.2173 0.6348 x8  1 Rh 2.10
N 0.0000 0.5000 0.0000 x4  4 Pm 2.40


No. 8
Density functional theory data (PBE) for a relaxed Pm3RuN crystal.

Properties
offset from the most stable computed form	0	meV/atom
uncorrected formation energy	-598	meV/atom
M_tot	0.00	Bohr magnetons per cell

Cell lengths 8.5497, 6.2584, 9.0230 Å; angles 90.00, 113.59, 90.00 degrees
With the nearest neighbours (Å) after each atom.
Space group P2_1/c (No. 14)
Asymmetric unit:
Pm 0.0800 0.0735 0.3548 x4  3 N 2.46-2.57
Pm 0.2064 0.5932 0.5564 x4  2 N 2.48-2.57
Pm 0.3714 0.1147 0.7671 x4  1 N 2.50
Ru 0.4147 0.6522 0.9132 x4  1 Ru 2.53
N 0.0749 0.2409 0.5993 x4  6 Pm 2.46-2.57